Computed, not measured: a crystal of AgPbBr2 relaxed with PBEsol at the SCAN level of DFT.

a = 5.195 Å, b = 5.195 Å, c = 5.195 Å
α = 60.00°, β = 60.00°, γ = 60.00°
Sites, in units of the cell vectors:
Pb: 0.500 0.500 0.500
Br: 0.750 0.750 0.750
Br: 0.250 0.250 0.250
Ag: 0.000 0.000 0.000

## Properties
Its excess energy over the best structure of this formula in the dataset is 28 meV per atom. The space-group type is Fm-3m.

Computed, not measured: a crystal of Ag2PbBr relaxed with PBEsol at the SCAN level of DFT.

a = 5.073 Å, b = 5.073 Å, c = 5.073 Å
α = 60.00°, β = 60.00°, γ = 60.00°
Sites, in units of the cell vectors:
Pb: 0.750 0.750 0.750
Br: 0.500 0.500 0.500
Ag: 0.000 0.000 0.000
Ag: 0.250 0.250 0.250

## Properties
Its excess energy over the best structure of this formula in the dataset is 270 meV per atom. The space-group type is F-43m.

Computed, not measured: a crystal of AgPb3Br relaxed with PBEsol at the SCAN level of DFT.

a = 5.464 Å, b = 5.464 Å, c = 5.464 Å
α = 90.00°, β = 90.00°, γ = 90.00°
Sites, in units of the cell vectors:
Pb: 0.000 0.500 0.000
Pb: 0.000 0.000 0.500
Pb: 0.500 0.000 0.000
Br: 0.500 0.500 0.500
Ag: 0.000 0.000 0.000

## Properties
The space-group type is Pm-3m. The total energy is -55.41 eV/atom.

Computed, not measured: a crystal of Ag2PbBr relaxed with PBEsol at the SCAN level of DFT.

a = 3.385 Å, b = 5.122 Å, c = 5.348 Å
α = 106.74°, β = 90.00°, γ = 90.00°
Sites, in units of the cell vectors:
Pb: 0.000 0.500 0.500
Br: 0.500 0.000 0.500
Ag: 0.000 0.000 0.000
Ag: 0.500 0.500 0.000

## Properties
Its excess energy over the best structure of this formula in the dataset is 112 meV per atom. The space-group type is P2/m.

Computed, not measured: a crystal of AgPdSeBr2 relaxed with PBEsol at the SCAN level of DFT.

a = 5.032 Å, b = 5.081 Å, c = 5.081 Å
α = 90.00°, β = 90.00°, γ = 90.00°
Sites, in units of the cell vectors:
Br: 0.000 0.000 0.500
Br: 0.000 0.500 0.000
Se: 0.500 0.000 0.000
Pd: 0.500 0.500 0.500
Ag: 0.000 0.000 0.000

## Properties
The space-group type is P4/mmm. The total energy is -24.06 eV/atom.

Computed, not measured: a crystal of Rb2PrAgBr6 relaxed with PBEsol at the SCAN level of DFT.

a = 7.954 Å, b = 7.954 Å, c = 7.954 Å
α = 60.00°, β = 60.00°, γ = 60.00°
Sites, in units of the cell vectors:
Rb: 0.750 0.750 0.750
Rb: 0.250 0.250 0.250
Pr: 0.500 0.500 0.500
Ag: 0.000 0.000 0.000
Br: 0.754 0.246 0.246
Br: 0.754 0.754 0.246
Br: 0.246 0.754 0.754
Br: 0.754 0.246 0.754
Br: 0.246 0.754 0.246
Br: 0.246 0.246 0.754

## Properties
The space-group type is Fm-3m. The total energy is -24.99 eV/atom.

| no. | calculated volume (Å³/f.u.) | M_tot (μB per atom) |
| --- | --- | --- |
| 1 | 99.2 | 0.00 |
| 2 | 92.3 | 0.00 |
| 3 | 163.2 | 0.00 |
| 4 | 88.8 | 0.00 |
| 5 | 129.9 | 0.34 |
| 6 | 355.9 | 0.00 |